# 1
Ba2CaH2, relaxed, DFT PBE; magnetization = 0.00 μB per formula unit; space group = I4/mmm; ΔE to the lowest computed polymorph = 0.0 meV per atom
1.0
4.357 0.000 0.000
0.000 4.357 0.000
2.178 2.178 9.255
H Ca Ba
2 1 2
Cartesian
4.357 2.178 4.628
2.178 4.357 4.628
0.000 0.000 0.000
2.178 2.178 3.171
4.357 4.357 6.085

***

# 2
BaCaH3, relaxed, DFT PBE; magnetization = 0.00 μB per formula unit; space group = Pm-3m; ΔE to the lowest computed polymorph = 0.0 meV per atom
1.0
-1.947 3.821 -1.181
-2.400 -2.167 -3.055
-3.199 -0.700 3.010
H Ca Ba
3 1 1
Cartesian
-1.200 -1.084 -1.527
-1.600 -0.350 1.505
-0.974 1.910 -0.591
0.000 0.000 0.000
-3.773 0.477 -0.613

***

# 3
BaCaH2, relaxed, DFT PBE; magnetization = 0.00 μB per formula unit; space group = Pm; ΔE to the lowest computed polymorph = 22.9 meV per atom
1.0
-6.185 1.647 -1.040
0.237 -1.629 -3.989
-1.984 -6.018 2.340
Ba Ca H
2 2 4
Cartesian
-1.387 -1.713 0.617
-5.802 -4.609 1.538
-4.363 -2.590 -1.536
-2.238 -5.594 -0.182
-2.312 -0.955 -2.082
-2.283 -3.544 -1.022
-6.164 -4.024 -1.057
-2.211 -5.459 2.098

***

# 4
BaCaH2, relaxed, DFT PBE; magnetization = 1.79 μB per formula unit; space group = I-42d; ΔE to the lowest computed polymorph = 133.7 meV per atom
1.0
-4.772 -1.541 2.871
0.057 -5.130 -2.658
0.937 -5.526 4.406
H Ca Ba
4 2 2
Cartesian
-2.503 -2.909 2.420
-0.564 -4.857 -0.058
-1.063 -6.902 3.251
-3.425 -9.725 3.623
-2.357 -3.335 0.106
-0.682 -6.995 0.927
0.000 0.000 0.000
-3.096 -5.201 3.691

***

- Among the records above, which one has the highest ΔE to the lowest computed polymorph?
  number 4